## Pr5NdHg4 (PBE-GGA)

Data for a relaxed Pr5NdHg4 crystal.

a = 3.8362 Å, b = 3.8362 Å, c = 20.5999 Å
α = 90.00°, β = 90.00°, γ = 90.00°
With the nearest neighbours (Å) after each atom.
Atoms (fractional coordinates):
Pr 0.0000 0.0000 0.0000  8 Hg 3.34
Pr 0.0000 0.0000 0.1884  8 Hg 3.33-3.38
Pr 0.0000 0.0000 0.3782  4 Hg 3.31, 4 Nd 3.70
Pr 0.0000 0.0000 0.6218  4 Hg 3.31, 4 Nd 3.70
Pr 0.0000 0.0000 0.8116  8 Hg 3.33-3.38
Nd 0.5000 0.5000 0.5000  8 Pr 3.70, 4 Nd 3.84
Hg 0.5000 0.5000 0.0946  8 Pr 3.33-3.34
Hg 0.5000 0.5000 0.2862  8 Pr 3.31-3.38
Hg 0.5000 0.5000 0.7138  8 Pr 3.31-3.38
Hg 0.5000 0.5000 0.9054  8 Pr 3.33-3.34

Properties
M_tot = 1.44 μB per formula unit
ΔH_f (0 K) = -372 meV per atom
Uncorrected energy = -33.59 eV per cell

## Sr2SbOs (PBE-GGA)

Data for a relaxed Sr2SbOs crystal.

a = 3.5438 Å, b = 3.5438 Å, c = 9.4247 Å
α = 90.00°, β = 90.00°, γ = 90.00°
With the nearest neighbours (Å) after each atom.
Atoms (fractional coordinates):
Sr 0.0000 0.0000 0.0000  4 Sb 3.44, 1 Os 3.53, 4 Sr 3.54
Sr 0.5000 0.5000 0.3919  4 Os 3.34, 1 Sb 3.37, 4 Sr 3.54
Sb 0.5000 0.5000 0.7495  4 Os 2.76
Os 0.0000 0.0000 0.6259  4 Sb 2.76

Properties
M_tot = 0.00 μB per formula unit
ΔE_f (raw) = 0.130 eV per atom
Uncorrected energy = -18.20 eV per cell

## Ni2Pd3 (PBE-GGA)

Data for a relaxed Ni2Pd3 crystal.

a = 7.0844 Å, b = 7.0844 Å, c = 4.6932 Å
α = 96.55°, β = 96.55°, γ = 141.34°
With the nearest neighbours (Å) after each atom.
Atoms (fractional coordinates):
Ni 0.0502 0.9498 0.7500  8 Pd 2.61-2.69, 4 Ni 2.69-2.70
Ni 0.3507 0.6493 0.2500  10 Pd 2.62-2.75, 2 Ni 2.69
Ni 0.6493 0.3507 0.7500  10 Pd 2.62-2.75, 2 Ni 2.69
Ni 0.9498 0.0502 0.2500  8 Pd 2.61-2.69, 4 Ni 2.69-2.70
Pd 0.1452 0.8548 0.2500  6 Ni 2.61-2.75, 6 Pd 2.69-2.75
Pd 0.2470 0.7530 0.7500  5 Ni 2.63-2.73, 7 Pd 2.69-2.76
Pd 0.4535 0.5465 0.7500  7 Ni 2.62-2.72, 5 Pd 2.66-2.76
Pd 0.5465 0.4535 0.2500  7 Ni 2.62-2.72, 5 Pd 2.66-2.76
Pd 0.7530 0.2470 0.2500  5 Ni 2.63-2.73, 7 Pd 2.69-2.76
Pd 0.8548 0.1452 0.7500  6 Ni 2.61-2.75, 6 Pd 2.69-2.75

Properties
M_tot = 2.52 μB per formula unit
ΔH_f (0 K) = 42 meV per atom
Uncorrected energy = -53.86 eV per cell
Excess energy over the best structure of this formula in the dataset = 0 meV per atom

## Pm4DyEr2 (PBE-GGA)

Data for a relaxed Pm4DyEr2 crystal.

a = 8.9846 Å, b = 8.9846 Å, c = 8.9846 Å
α = 135.24°, β = 101.46°, γ = 95.24°
With the nearest neighbours (Å) after each atom.
Atoms (fractional coordinates):
Pm 0.1522 0.1475 0.0047  1 Er 3.32, 2 Dy 3.50, 5 Pm 3.57-3.70
Pm 0.2402 0.2107 0.4705  1 Pm 3.02, 1 Dy 3.15, 1 Er 3.16
Pm 0.2402 0.7697 0.0295  1 Pm 3.02, 1 Dy 3.15, 1 Er 3.16
Pm 0.3572 0.8525 0.5047  1 Er 3.32, 2 Dy 3.50, 5 Pm 3.57-3.70
Pm 0.6428 0.1475 0.4953  1 Er 3.32, 2 Dy 3.50, 5 Pm 3.57-3.70
Pm 0.7598 0.2303 0.9705  1 Pm 3.02, 1 Dy 3.15, 1 Er 3.16
Pm 0.7598 0.7893 0.5295  1 Pm 3.02, 1 Dy 3.15, 1 Er 3.16
Pm 0.8478 0.8525 0.9953  1 Er 3.32, 2 Dy 3.50, 5 Pm 3.57-3.70
Dy 0.5000 0.0000 0.0000  6 Pm 3.15-3.50, 2 Dy 3.42
Dy 0.5000 0.5000 0.5000  6 Pm 3.15-3.50, 2 Dy 3.42
Er 0.0000 0.5000 0.5000  4 Pm 3.43
Er 0.0320 0.2820 0.7500  4 Pm 3.16-3.32, 2 Er 3.51
Er 0.5000 0.5000 0.0000  4 Pm 3.43
Er 0.9680 0.7180 0.2500  4 Pm 3.16-3.32, 2 Er 3.51

Properties
M_tot = 0.00 μB per formula unit
ΔH_f (0 K) = 258 meV per atom
Uncorrected energy = -61.84 eV per cell
Excess energy over the best structure of this formula in the dataset = 202 meV per atom

## Cs2ICl (PBE-GGA)

Data for a relaxed Cs2ICl crystal.

a = 8.9555 Å, b = 8.9555 Å, c = 8.9555 Å
α = 90.00°, β = 90.00°, γ = 90.00°
With the nearest neighbours (Å) after each atom.
Atoms (fractional coordinates):
Cs 0.2500 0.2500 0.2500  4 Cl 3.88, 4 I 3.88
Cs 0.2500 0.2500 0.7500  4 Cl 3.88, 4 I 3.88
Cs 0.2500 0.7500 0.2500  4 Cl 3.88, 4 I 3.88
Cs 0.2500 0.7500 0.7500  4 Cl 3.88, 4 I 3.88
Cs 0.7500 0.2500 0.2500  4 Cl 3.88, 4 I 3.88
Cs 0.7500 0.2500 0.7500  4 Cl 3.88, 4 I 3.88
Cs 0.7500 0.7500 0.2500  4 Cl 3.88, 4 I 3.88
Cs 0.7500 0.7500 0.7500  4 Cl 3.88, 4 I 3.88
I 0.0000 0.0000 0.0000  8 Cs 3.88
I 0.0000 0.5000 0.5000  8 Cs 3.88
I 0.5000 0.0000 0.5000  8 Cs 3.88
I 0.5000 0.5000 0.0000  8 Cs 3.88
Cl 0.0000 0.0000 0.5000  8 Cs 3.88
Cl 0.0000 0.5000 0.0000  8 Cs 3.88
Cl 0.5000 0.0000 0.0000  8 Cs 3.88
Cl 0.5000 0.5000 0.5000  8 Cs 3.88

Properties
M_tot = 0.00 μB per formula unit
ΔE_f (raw) = -1.685 eV per atom
Uncorrected energy = -47.38 eV per cell

## NaTc3Te (PBE-GGA)

Data for a relaxed NaTc3Te crystal.

a = 4.5984 Å, b = 4.5984 Å, c = 4.5984 Å
α = 90.00°, β = 90.00°, γ = 90.00°
With the nearest neighbours (Å) after each atom.
Atoms (fractional coordinates):
Na 0.0000 0.0000 0.0000  6 Tc 2.30
Tc 0.0000 0.0000 0.5000  2 Na 2.30
Tc 0.0000 0.5000 0.0000  2 Na 2.30
Tc 0.5000 0.0000 0.0000  2 Na 2.30
Te 0.5000 0.5000 0.5000  12 Tc 3.25

Properties
M_tot = 4.88 μB per formula unit
ΔE_f (raw) = 2.349 eV per atom
Uncorrected energy = -23.82 eV per cell
Excess energy over the best structure of this formula in the dataset = 715 meV per atom

## Zn2Ni2Pb (PBE-GGA)

Data for a relaxed Zn2Ni2Pb crystal.

a = 3.8894 Å, b = 3.8894 Å, c = 11.1223 Å
α = 90.00°, β = 90.00°, γ = 90.00°
With the nearest neighbours (Å) after each atom.
Atoms (fractional coordinates):
Zn 0.0000 0.0000 0.1197  4 Ni 2.43, 1 Zn 2.66
Zn 0.0000 0.0000 0.8803  4 Ni 2.43, 1 Zn 2.66
Zn 0.5000 0.5000 0.3803  4 Ni 2.43, 1 Zn 2.66
Zn 0.5000 0.5000 0.6197  4 Ni 2.43, 1 Zn 2.66
Ni 0.0000 0.5000 0.2500  4 Zn 2.43
Ni 0.0000 0.5000 0.7500  4 Zn 2.43
Ni 0.5000 0.0000 0.2500  4 Zn 2.43
Ni 0.5000 0.0000 0.7500  4 Zn 2.43
Pb 0.0000 0.0000 0.5000  8 Zn 3.06, 8 Ni 3.39
Pb 0.5000 0.5000 0.0000  8 Zn 3.06, 8 Ni 3.39

Properties
M_tot = 0.00 μB per formula unit
ΔH_f (0 K) = 151 meV per atom
Uncorrected energy = -34.13 eV per cell
Excess energy over the best structure of this formula in the dataset = 116 meV per atom

## NdY2Ho (PBE-GGA)

Data for a relaxed NdY2Ho crystal.

a = 8.0889 Å, b = 8.0889 Å, c = 8.0889 Å
α = 90.00°, β = 90.00°, γ = 90.00°
With the nearest neighbours (Å) after each atom.
Atoms (fractional coordinates):
Nd 0.0000 0.0000 0.0000  8 Y 3.50
Nd 0.0000 0.5000 0.5000  8 Y 3.50
Nd 0.5000 0.0000 0.5000  8 Y 3.50
Nd 0.5000 0.5000 0.0000  8 Y 3.50
Y 0.2500 0.2500 0.2500  4 Nd 3.50, 4 Ho 3.50
Y 0.2500 0.2500 0.7500  4 Ho 3.50, 4 Nd 3.50
Y 0.2500 0.7500 0.2500  4 Ho 3.50, 4 Nd 3.50
Y 0.2500 0.7500 0.7500  4 Ho 3.50, 4 Nd 3.50
Y 0.7500 0.2500 0.2500  4 Ho 3.50, 4 Nd 3.50
Y 0.7500 0.2500 0.7500  4 Ho 3.50, 4 Nd 3.50
Y 0.7500 0.7500 0.2500  4 Ho 3.50, 4 Nd 3.50
Y 0.7500 0.7500 0.7500  4 Ho 3.50, 4 Nd 3.50
Ho 0.0000 0.0000 0.5000  8 Y 3.50
Ho 0.0000 0.5000 0.0000  8 Y 3.50
Ho 0.5000 0.0000 0.0000  8 Y 3.50
Ho 0.5000 0.5000 0.5000  8 Y 3.50

Properties
M_tot = 0.00 μB per formula unit
ΔH_f (0 K) = 123 meV per atom
Uncorrected energy = -87.12 eV per cell
Excess energy over the best structure of this formula in the dataset = 117 meV per atom